Record 1
Entry from the Alexandria database: a relaxed GeHPd4 crystal (PBE-GGA).

Output
Relative energy among the computed polymorphs in kJ per mole of atoms: 4.4
Magnetization in μB/f.u.: 0.0

Lattice parameters (Å, degrees): 4.906 6.290 6.566 113.39 105.58 102.67
Atoms (fractional coordinates):
Pd  0.204  0.305  0.371
H  0.341  0.091  0.182
Pd  0.334  0.934  0.629
Ge  0.621  0.371  0.742
Pd  0.021  0.215  0.872
H  0.659  0.909  0.818
Pd  0.649  0.343  0.128
Pd  0.979  0.785  0.128
Pd  0.666  0.066  0.371
Pd  0.351  0.657  0.872
Ge  0.379  0.629  0.258
Pd  0.796  0.695  0.629



Record 2
Entry from the Alexandria database: a relaxed GeH2Pd2 crystal (PBE-GGA).

Output
Relative energy among the computed polymorphs in kJ per mole of atoms: 0.0
Magnetization in μB/f.u.: 0.0

Lattice parameters (Å, degrees): 3.119 3.119 6.021 74.99 74.99 90.00
Atoms (fractional coordinates):
H  0.250  0.750  0.500
Pd  0.653  0.653  0.693
Pd  0.347  0.347  0.307
H  0.750  0.250  0.500
Ge  0.000  0.000  0.000



Record 3
Entry from the Alexandria database: a relaxed Ge2HPd2 crystal (PBE-GGA).

Output
Magnetization in μB/f.u.: 0.0
DFT total energy in eV/atom: -4.606

Lattice parameters (Å, degrees): 5.519 5.519 4.671 90.00 90.00 90.00
Atoms (fractional coordinates):
Pd  0.310  0.810  0.000
H  0.000  0.000  0.000
Pd  0.810  0.690  0.000
Pd  0.690  0.190  0.000
Ge  0.672  0.828  0.500
Ge  0.828  0.328  0.500
H  0.500  0.500  0.000
Ge  0.328  0.172  0.500
Pd  0.190  0.310  0.000
Ge  0.172  0.672  0.500